ZrTlAg after structural relaxation. Source: Alexandria, functional PBE-GGA.

CIF file:
```
data_ZrTlAg
_chemical_formula_sum 'Zr2 Tl2 Ag2'
_cell_length_a 3.138
_cell_length_b 5.590
_cell_length_c 7.754
_cell_angle_alpha 104.51
_cell_angle_beta 90.02
_cell_angle_gamma 90.00
_space_group_name_H-M_alt 'P -1'
_space_group_IT_number 2
_space_group_name_Hall '-P 1'
loop_
_atom_site_label
_atom_site_type_symbol
_atom_site_fract_x
_atom_site_fract_y
_atom_site_fract_z
Zr1 Zr 0.000 0.104 0.313
Tl1 Tl 0.499 0.619 0.335
Ag1 Ag 0.499 0.755 0.996
```



Zr2TlAg after structural relaxation. Source: Alexandria, functional PBE-GGA.

CIF file:
```
data_Zr2TlAg
_chemical_formula_sum 'Zr4 Tl2 Ag2'
_cell_length_a 10.563
_cell_length_b 3.137
_cell_length_c 5.412
_cell_angle_alpha 90.00
_cell_angle_beta 99.93
_cell_angle_gamma 90.00
_space_group_name_H-M_alt 'C 1 2/m 1'
_space_group_IT_number 12
_space_group_name_Hall '-C 2y'
loop_
_atom_site_label
_atom_site_type_symbol
_atom_site_fract_x
_atom_site_fract_y
_atom_site_fract_z
Zr1 Zr 0.249 0.000 0.252
Tl1 Tl 0.000 0.000 0.500
Ag1 Ag 0.000 0.500 0.000
```



Zr2TlAg after structural relaxation. Source: Alexandria, functional PBE-GGA.

CIF file:
```
data_Zr2TlAg
_chemical_formula_sum 'Zr2 Tl1 Ag1'
_cell_length_a 4.416
_cell_length_b 4.416
_cell_length_c 4.388
_cell_angle_alpha 90.00
_cell_angle_beta 90.00
_cell_angle_gamma 90.00
_space_group_name_H-M_alt 'P 4/m m m'
_space_group_IT_number 123
_space_group_name_Hall '-P 4 2'
loop_
_atom_site_label
_atom_site_type_symbol
_atom_site_fract_x
_atom_site_fract_y
_atom_site_fract_z
Zr1 Zr 0.000 0.500 0.000
Tl1 Tl 0.000 0.000 0.500
Ag1 Ag 0.500 0.500 0.500
```



ZrTlAg after structural relaxation. Source: Alexandria, functional PBE-GGA.

CIF file:
```
data_ZrTlAg
_chemical_formula_sum 'Zr4 Tl4 Ag4'
_cell_length_a 13.025
_cell_length_b 3.253
_cell_length_c 6.505
_cell_angle_alpha 90.00
_cell_angle_beta 103.80
_cell_angle_gamma 90.00
_space_group_name_H-M_alt 'C 1 2/m 1'
_space_group_IT_number 12
_space_group_name_Hall '-C 2y'
loop_
_atom_site_label
_atom_site_type_symbol
_atom_site_fract_x
_atom_site_fract_y
_atom_site_fract_z
Zr1 Zr 0.172 0.000 0.333
Tl1 Tl 0.000 0.500 0.000
Tl2 Tl 0.000 0.500 0.500
Ag1 Ag 0.177 0.000 0.843
```



ZrTlAg after structural relaxation. Source: Alexandria, functional PBE-GGA.

CIF file:
```
data_ZrTlAg
_chemical_formula_sum 'Zr4 Tl4 Ag4'
_cell_length_a 9.494
_cell_length_b 4.369
_cell_length_c 6.475
_cell_angle_alpha 90.00
_cell_angle_beta 105.54
_cell_angle_gamma 90.00
_space_group_name_H-M_alt 'C 1 2/m 1'
_space_group_IT_number 12
_space_group_name_Hall '-C 2y'
loop_
_atom_site_label
_atom_site_type_symbol
_atom_site_fract_x
_atom_site_fract_y
_atom_site_fract_z
Zr1 Zr 0.163 0.000 0.329
Tl1 Tl 0.000 0.500 0.000
Tl2 Tl 0.000 0.500 0.500
Ag1 Ag 0.173 0.000 0.834
```



ZrTlAg after structural relaxation. Source: Alexandria, functional PBE-GGA.

CIF file:
```
data_ZrTlAg
_chemical_formula_sum 'Zr2 Tl2 Ag2'
_cell_length_a 5.438
_cell_length_b 3.118
_cell_length_c 7.736
_cell_angle_alpha 90.00
_cell_angle_beta 94.77
_cell_angle_gamma 90.00
_space_group_name_H-M_alt 'P 1 m 1'
_space_group_IT_number 6
_space_group_name_Hall 'P -2y'
loop_
_atom_site_label
_atom_site_type_symbol
_atom_site_fract_x
_atom_site_fract_y
_atom_site_fract_z
Zr1 Zr 0.000 0.000 0.000
Zr2 Zr 0.346 0.000 0.682
Tl1 Tl 0.174 0.500 0.336
Tl2 Tl 0.830 0.500 0.659
Ag1 Ag 0.505 0.500 0.005
Ag2 Ag 0.664 0.000 0.315
```



Zr2TlAg2 after structural relaxation. Source: Alexandria, functional PBE-GGA.

Output
The energy above the most stable polymorph in this dataset is 0 meV per atom.

CIF file:
```
data_Zr2TlAg2
_chemical_formula_sum 'Zr4 Tl2 Ag4'
_cell_length_a 7.822
_cell_length_b 7.822
_cell_length_c 3.495
_cell_angle_alpha 90.00
_cell_angle_beta 90.00
_cell_angle_gamma 90.00
_space_group_name_H-M_alt 'P 4/m b m'
_space_group_IT_number 127
_space_group_name_Hall '-P 4 2ab'
loop_
_atom_site_label
_atom_site_type_symbol
_atom_site_fract_x
_atom_site_fract_y
_atom_site_fract_z
Zr1 Zr 0.171 0.329 0.000
Tl1 Tl 0.000 0.000 0.500
Ag1 Ag 0.125 0.625 0.500
```



ZrTlAg2 after structural relaxation. Source: Alexandria, functional PBE-GGA.

CIF file:
```
data_ZrTlAg2
_chemical_formula_sum 'Zr1 Tl1 Ag2'
_cell_length_a 3.315
_cell_length_b 3.337
_cell_length_c 7.500
_cell_angle_alpha 90.00
_cell_angle_beta 90.00
_cell_angle_gamma 90.00
_space_group_name_H-M_alt 'P m m 2'
_space_group_IT_number 25
_space_group_name_Hall 'P 2 -2'
loop_
_atom_site_label
_atom_site_type_symbol
_atom_site_fract_x
_atom_site_fract_y
_atom_site_fract_z
Zr1 Zr 0.000 0.000 0.000
Tl1 Tl 0.500 0.500 0.276
Ag1 Ag 0.000 0.000 0.536
Ag2 Ag 0.500 0.500 0.756
```



ZrTlAg after structural relaxation. Source: Alexandria, functional PBE-GGA.

CIF file:
```
data_ZrTlAg
_chemical_formula_sum 'Zr2 Tl2 Ag2'
_cell_length_a 4.230
_cell_length_b 4.230
_cell_length_c 7.644
_cell_angle_alpha 90.00
_cell_angle_beta 90.00
_cell_angle_gamma 90.00
_space_group_name_H-M_alt 'P 4/n m m'
_space_group_IT_number 129
loop_
_space_group_symop_operation_xyz
'x,y,z'
'-x,-y,-z'
'-y+1/2,x,z'
'y+1/2,-x,-z'
'-x+1/2,-y+1/2,z'
'x+1/2,y+1/2,-z'
'y,-x+1/2,z'
'-y,x+1/2,-z'
'x+1/2,-y,-z'
'-x+1/2,y,z'
'-y,-x,-z'
'y,x,z'
'-x,y+1/2,-z'
'x,-y+1/2,z'
'y+1/2,x+1/2,-z'
'-y+1/2,-x+1/2,z'
loop_
_atom_site_label
_atom_site_type_symbol
_atom_site_fract_x
_atom_site_fract_y
_atom_site_fract_z
Zr1 Zr 0.250 0.250 0.139
Tl1 Tl 0.250 0.750 0.500
Ag1 Ag 0.250 0.250 0.779
```



ZrTlAg2 after structural relaxation. Source: Alexandria, functional PBE-GGA.

CIF file:
```
data_ZrTlAg2
_chemical_formula_sum 'Zr1 Tl1 Ag2'
_cell_length_a 2.976
_cell_length_b 4.861
_cell_length_c 5.839
_cell_angle_alpha 90.00
_cell_angle_beta 91.16
_cell_angle_gamma 90.00
_space_group_name_H-M_alt 'P 1 2/m 1'
_space_group_IT_number 10
_space_group_name_Hall '-P 2y'
loop_
_atom_site_label
_atom_site_type_symbol
_atom_site_fract_x
_atom_site_fract_y
_atom_site_fract_z
Zr1 Zr 0.000 0.000 0.000
Tl1 Tl 0.500 0.000 0.500
Ag1 Ag 0.478 0.500 0.766
```



Zr2TlAg2 after structural relaxation. Source: Alexandria, functional PBE-GGA.

Output
The energy above the most stable polymorph in this dataset is 103 meV per atom.

CIF file:
```
data_Zr2TlAg2
_chemical_formula_sum 'Zr4 Tl2 Ag4'
_cell_length_a 8.380
_cell_length_b 8.380
_cell_length_c 3.172
_cell_angle_alpha 90.00
_cell_angle_beta 90.00
_cell_angle_gamma 90.00
_space_group_name_H-M_alt 'P 4/m b m'
_space_group_IT_number 127
_space_group_name_Hall '-P 4 2ab'
loop_
_atom_site_label
_atom_site_type_symbol
_atom_site_fract_x
_atom_site_fract_y
_atom_site_fract_z
Zr1 Zr 0.169 0.331 0.000
Tl1 Tl 0.000 0.000 0.000
Ag1 Ag 0.125 0.625 0.500
```



ZrTlAg3 after structural relaxation. Source: Alexandria, functional PBE-GGA.

Output
The energy above the most stable polymorph in this dataset is 24 meV per atom.

CIF file:
```
data_ZrTlAg3
_chemical_formula_sum 'Zr1 Tl1 Ag3'
_cell_length_a 5.122
_cell_length_b 5.122
_cell_length_c 5.122
_cell_angle_alpha 90.00
_cell_angle_beta 90.00
_cell_angle_gamma 90.00
_space_group_name_H-M_alt 'P m -3 m'
_space_group_IT_number 221
_space_group_name_Hall '-P 4 2 3'
loop_
_atom_site_label
_atom_site_type_symbol
_atom_site_fract_x
_atom_site_fract_y
_atom_site_fract_z
Zr1 Zr 0.000 0.000 0.000
Tl1 Tl 0.500 0.500 0.500
Ag1 Ag 0.000 0.500 0.500
```



The records above give, respectively, total DFT energy (no corrections) values of -13.6 -22.1 -22.6 -13.7 -13.7 -13.6 -24.9 -16.4 -13.0 -16.4 -24.4 -14.6 eV/f.u..
The records above give, respectively, formation enthalpy at 0 K values of 0.126 0.239 -0.244 0.109 0.046 0.133 0.269 0.250 0.738 0.182 0.786 4.822 eV/f.u..